# 1
The following is a DFT calculation (PBE) of SmDy5Tl4 after structural relaxation.

ΔH_f (0 K) in eV per atom: -0.273
DOS at the Fermi energy in states/eV/cell: 8.93

Cell lengths 3.612, 3.612, 21.842 Å; angles 90.00, 90.00, 90.00 degrees
Space group P4/mmm (No. 123)
One atom of each set of equivalent atoms:
1 Sm 0.000 0.000 0.000 (multiplicity 1)
2 Dy 0.500 0.500 0.116 (multiplicity 2)
3 Dy 0.500 0.500 0.307 (multiplicity 2)
4 Dy 0.500 0.500 0.500 (multiplicity 1)
5 Tl 0.000 0.000 0.212 (multiplicity 2)
6 Tl 0.000 0.000 0.404 (multiplicity 2)

---

# 2
The following is a DFT calculation (PBE) of BeNb2Ni2 after structural relaxation.

ΔH_f (0 K) in eV per atom: 0.250
Relative energy among the computed polymorphs in eV/f.u.: 1.59
DOS at the Fermi energy in states/eV/cell: 10.20

Cell lengths 7.223, 7.223, 2.835 Å; angles 90.00, 90.00, 90.00 degrees
Space group P4/mbm (No. 127)
One atom of each set of equivalent atoms:
1 Be 0.000 0.000 0.000 (multiplicity 2)
2 Nb 0.174 0.326 0.000 (multiplicity 4)
3 Ni 0.123 0.623 0.500 (multiplicity 4)

---

# 3
The following is a DFT calculation (PBE) of Y2Ga12Pt7 after structural relaxation.

ΔH_f (0 K) in eV per atom: -0.723
DOS at the Fermi energy in states/eV/cell: 6.19

Cell lengths 10.0537, 10.0537, 4.1672 Å; angles 90.00, 90.00, 120.00 degrees
Space group P-6 (No. 174)
One atom of each set of equivalent atoms:
1 Y 0.0000 0.0000 0.0000 (multiplicity 1)
2 Y 0.3333 0.6667 0.5000 (multiplicity 1)
3 Ga 0.0229 0.7389 0.5000 (multiplicity 3)
4 Ga 0.1432 0.3917 0.0000 (multiplicity 3)
5 Ga 0.3688 0.1791 0.0000 (multiplicity 3)
6 Ga 0.5332 0.1208 0.5000 (multiplicity 3)
7 Pt 0.0357 0.5754 0.0000 (multiplicity 3)
8 Pt 0.2390 0.0112 0.5000 (multiplicity 3)
9 Pt 0.6667 0.3333 0.0000 (multiplicity 1)